[1]
Li2LaTa | PBE-GGA | relaxed

CIF file:
```
data_Li2LaTa
_chemical_formula_sum 'Li8 La4 Ta4'
_symmetry_space_group_name_H-M 'F m -3 m'
_symmetry_Int_Tables_number 225
_symmetry_space_group_name_Hall '-F 4 2 3'
_cell_length_a 6.924
_cell_length_b 6.924
_cell_length_c 6.924
_cell_angle_alpha 90.00
_cell_angle_beta 90.00
_cell_angle_gamma 90.00
loop_
_atom_site_label
_atom_site_fract_x
_atom_site_fract_y
_atom_site_fract_z
Li1 0.250 0.250 0.250
La1 0.000 0.000 0.000
Ta1 0.000 0.000 0.500
```

Relative energy among the computed polymorphs, eV per atom: 0.311
Total moment, μB/atom: 0.00
Calculated formation energy, kJ/mol of formula units: 251.9

---

[2]
La2Pr2Pd15 | PBE-GGA | relaxed

CIF file:
```
data_La2Pr2Pd15
_chemical_formula_sum 'La6 Pr6 Pd45'
_symmetry_space_group_name_H-M 'R -3 m'
_symmetry_Int_Tables_number 166
_symmetry_space_group_name_Hall '-R 3 2"'
_cell_length_a 9.3682
_cell_length_b 9.3682
_cell_length_c 14.2877
_cell_angle_alpha 90.00
_cell_angle_beta 90.00
_cell_angle_gamma 120.00
loop_
_atom_site_label
_atom_site_fract_x
_atom_site_fract_y
_atom_site_fract_z
La1 0.0000 0.0000 0.1371
Pr1 0.0000 0.0000 0.3913
Pd1 0.0000 0.3122 0.5000
Pd2 0.0000 0.5000 0.0000
Pd3 0.0089 0.5045 0.6545
```

Total moment, μB/atom: 0.00
Calculated formation energy, kJ/mol of formula units: -1019.2

---

[3]
SnHCl2 | PBE-GGA | relaxed

CIF file:
```
data_SnHCl2
_chemical_formula_sum 'Sn4 H4 Cl8'
_symmetry_space_group_name_H-M 'C m c m'
_symmetry_Int_Tables_number 63
_symmetry_space_group_name_Hall '-C 2c 2'
_cell_length_a 4.193
_cell_length_b 19.997
_cell_length_c 5.685
_cell_angle_alpha 90.00
_cell_angle_beta 90.00
_cell_angle_gamma 90.00
loop_
_atom_site_label
_atom_site_fract_x
_atom_site_fract_y
_atom_site_fract_z
Sn1 0.000 0.177 0.250
H1 0.000 0.046 0.750
Cl1 0.000 0.207 0.750
Cl2 0.000 0.408 0.750
```

Relative energy among the computed polymorphs, eV per atom: 0.292
Total moment, μB/atom: 0.25